The following is a DFT calculation (PBE) of crystalline NaAs3I at its relaxed geometry.

Calculated values
symmetry	Pm-3m, No. 221
electronic total energy	-2.27	eV/atom
formation energy from raw total energies	5.47	eV/f.u.
volume	137.2	Å³ per cell
density of states at the Fermi level	6.4	states/eV/f.u.
spin magnetization	0.000	μB/f.u.
energy above the most stable polymorph in this dataset	208.3	meV/atom
crystal system	cubic

Cell: 5.1578 5.1578 5.1578 Å, 90.00 90.00 90.00°
Sites, in units of the cell vectors:
Na 0.0000 0.0000 0.0000
As 0.0000 0.0000 0.5000
As 0.0000 0.5000 0.0000
As 0.5000 0.0000 0.0000
I 0.5000 0.5000 0.5000

The following is a DFT calculation (PBE) of crystalline AlSb2P at its relaxed geometry.

Calculated values
symmetry	C2/m, No. 12
electronic total energy	-4.18	eV/atom
formation energy from raw total energies	0.67	eV/f.u.
volume	92.1	Å³ per cell
density of states at the Fermi level	1.5	states/eV/f.u.
spin magnetization	0.000	μB/f.u.
energy above the most stable polymorph in this dataset	193.7	meV/atom
crystal system	monoclinic

Cell: 3.8744 3.8744 7.3934 Å, 105.37 105.37 60.70°
Sites, in units of the cell vectors:
Al 0.0000 0.0000 0.0000
Sb 0.2473 0.2473 0.7417
Sb 0.7527 0.7527 0.2583
P 0.5000 0.5000 0.5000

The following is a DFT calculation (PBE) of crystalline CdMo3 at its relaxed geometry.

Calculated values
symmetry	Pmm2, No. 25
electronic total energy	-7.90	eV/atom
volume	67.3	Å³ per cell
density of states at the Fermi level	3.2	states/eV/f.u.
spin magnetization	0.000	μB/f.u.
energy above the most stable polymorph in this dataset	234.4	meV/atom
formation enthalpy at 0 K	1.81	eV/f.u.
crystal system	orthorhombic

Cell: 2.6671 4.7670 5.2945 Å, 90.00 90.00 90.00°
Sites, in units of the cell vectors:
Cd 0.0000 0.0000 0.0000
Mo 0.0000 0.5000 0.3053
Mo 0.5000 0.0000 0.5034
Mo 0.5000 0.5000 0.7943

The following is a DFT calculation (PBE) of crystalline SrTl2InCl5 at its relaxed geometry.

Calculated values
symmetry	Cmc2_1, No. 36
electronic total energy	-3.48	eV/atom
formation energy from raw total energies	-12.92	eV/f.u.
volume	668.1	Å³ per cell
density of states at the Fermi level	0.0	states/eV/f.u.
spin magnetization	0.000	μB/f.u.
crystal system	orthorhombic

Cell: 9.3979 9.3979 16.6357 Å, 90.00 90.00 152.95°
Sites, in units of the cell vectors:
Sr 0.2370 0.7630 0.5000
Sr 0.7630 0.2370 0.0000
Tl 0.3414 0.6586 0.7241
Tl 0.4520 0.5480 0.1362
Tl 0.5480 0.4520 0.6362
Tl 0.6586 0.3414 0.2241
In 0.0567 0.9433 0.9100
In 0.9433 0.0567 0.4100
Cl 0.0422 0.9578 0.2433
Cl 0.0791 0.9209 0.5036
Cl 0.2447 0.7553 0.8877
Cl 0.2714 0.7286 0.1180
Cl 0.3956 0.6044 0.5272
Cl 0.6044 0.3956 0.0272
Cl 0.7286 0.2714 0.6180
Cl 0.7553 0.2447 0.3877
Cl 0.9209 0.0791 0.0036
Cl 0.9578 0.0422 0.7433

The following is a DFT calculation (PBE) of crystalline K2ZrGeBr at its relaxed geometry.

Calculated values
symmetry	P4/mmm, No. 123
electronic total energy	-3.39	eV/atom
formation energy from raw total energies	0.09	eV/f.u.
volume	217.6	Å³ per cell
density of states at the Fermi level	6.9	states/eV/f.u.
spin magnetization	1.394	μB/f.u.
crystal system	tetragonal

Cell: 6.4901 6.4901 5.1663 Å, 90.00 90.00 90.00°
Sites, in units of the cell vectors:
K 0.0000 0.5000 0.0000
K 0.5000 0.0000 0.0000
Zr 0.0000 0.0000 0.5000
Ge 0.0000 0.0000 0.0000
Br 0.5000 0.5000 0.5000

The following is a DFT calculation (PBE) of crystalline B2PI at its relaxed geometry.

Calculated values
symmetry	I-42d, No. 122
electronic total energy	-4.27	eV/atom
formation energy from raw total energies	3.22	eV/f.u.
volume	127.3	Å³ per cell
density of states at the Fermi level	1.5	states/eV/f.u.
spin magnetization	0.000	μB/f.u.
energy above the most stable polymorph in this dataset	0.0	meV/atom
crystal system	tetragonal

Cell: 5.7353 5.7353 5.7353 Å, 122.80 122.80 85.21°
Sites, in units of the cell vectors:
B 0.0297 0.6250 0.9047
B 0.3750 0.2797 0.4047
B 0.7203 0.1250 0.0953
B 0.8750 0.9703 0.5953
P 0.0000 0.0000 0.0000
P 0.7500 0.2500 0.5000
I 0.2500 0.7500 0.5000
I 0.5000 0.5000 0.0000